# 1
Material: Ga
Method: DFT, PBE
State: optimized geometry

abc: 5.8444 3.0859 4.8637
angles: 90.00 120.52 90.00
Closest atoms and distances in Å follow each position.
Sites, in units of the cell vectors:
Ga (0.7500, 0.6860, 0.7500)  10 Ga 2.88-3.09
Ga (0.2500, 0.3140, 0.2500)  10 Ga 2.88-3.09
Ga (0.7500, 0.1860, 0.2500)  10 Ga 2.88-3.09
Ga (0.2500, 0.8140, 0.7500)  10 Ga 2.88-3.09

Volume in Å³/cell: 75.6
Magnetization in μB/f.u.: 0.000
Final energy in eV per atom: -3.011
Formation enthalpy at 0 K in eV/atom: 0.02
ΔE to the lowest computed polymorph in meV per atom: 15.6

---

# 2
Material: Ga
Method: DFT, PBE
State: optimized geometry

abc: 5.3693 5.3693 5.4583
angles: 90.00 90.00 90.00
Closest atoms and distances in Å follow each position.
Sites, in units of the cell vectors:
Ga (0.1970, 0.8030, 0.0000)  7 Ga 2.73-2.99
Ga (0.6970, 0.6970, 0.5000)  7 Ga 2.73-2.99
Ga (0.3030, 0.3030, 0.5000)  7 Ga 2.73-2.99
Ga (0.8030, 0.1970, 0.0000)  7 Ga 2.73-2.99
Ga (0.3029, 0.3029, 0.0000)  7 Ga 2.73-2.99
Ga (0.8029, 0.1971, 0.5000)  7 Ga 2.73-2.99
Ga (0.1971, 0.8029, 0.5000)  7 Ga 2.73-2.99
Ga (0.6971, 0.6971, 0.0000)  7 Ga 2.73-2.99

Volume in Å³/cell: 157.4
Magnetization in μB/f.u.: 0.000
Final energy in eV per atom: -2.965
Formation enthalpy at 0 K in eV/atom: 0.06
ΔE to the lowest computed polymorph in meV per atom: 62.0

---

# 3
Material: Ga
Method: DFT, PBE
State: optimized geometry

abc: 4.1448 4.2745 4.3407
angles: 66.90 65.91 64.37
Closest atoms and distances in Å follow each position.
Sites, in units of the cell vectors:
Ga (0.2506, 0.7336, 0.2171)  6 Ga 2.65-2.96
Ga (0.7494, 0.2664, 0.7829)  6 Ga 2.65-2.96
Ga (0.5000, 0.0000, 0.5000)  8 Ga 2.65-2.77

Volume in Å³/cell: 61.1
Magnetization in μB/f.u.: 0.000
Final energy in eV per atom: -3.006
Formation enthalpy at 0 K in eV/atom: 0.02
ΔE to the lowest computed polymorph in meV per atom: 21.4

---

# 4
Material: Ga
Method: DFT, PBE
State: optimized geometry

abc: 5.2750 5.2750 5.2750
angles: 109.47 109.47 109.47
Closest atoms and distances in Å follow each position.
Sites, in units of the cell vectors:
Ga (0.7500, 0.8750, 0.1250)  8 Ga 2.85
Ga (0.3750, 0.2500, 0.6250)  8 Ga 2.85
Ga (0.2500, 0.6250, 0.3750)  8 Ga 2.85
Ga (0.8750, 0.1250, 0.7500)  8 Ga 2.85
Ga (0.6250, 0.3750, 0.2500)  8 Ga 2.85
Ga (0.1250, 0.7500, 0.8750)  8 Ga 2.85

Volume in Å³/cell: 113.0
Magnetization in μB/f.u.: 0.000
Final energy in eV per atom: -3.000
Formation enthalpy at 0 K in eV/atom: 0.03
ΔE to the lowest computed polymorph in meV per atom: 26.7

---

# 5
Material: Ga
Method: DFT, PBE
State: optimized geometry

abc: 8.0630 8.0630 8.0630
angles: 90.00 90.00 90.00
Closest atoms and distances in Å follow each position.
Sites, in units of the cell vectors:
Ga (0.1618, 0.1618, 0.1618)  4 Ga 2.50-2.59
Ga (0.1618, 0.8382, 0.8382)  4 Ga 2.50-2.59
Ga (0.8382, 0.1618, 0.8382)  4 Ga 2.50-2.59
Ga (0.8382, 0.8382, 0.1618)  4 Ga 2.50-2.59
Ga (0.6618, 0.6618, 0.6618)  4 Ga 2.50-2.59
Ga (0.6618, 0.3382, 0.3382)  4 Ga 2.50-2.59
Ga (0.3382, 0.6618, 0.3382)  4 Ga 2.50-2.59
Ga (0.3382, 0.3382, 0.6618)  4 Ga 2.50-2.59
Ga (0.3409, 0.3409, 0.3409)  4 Ga 2.50-2.59
Ga (0.3409, 0.6591, 0.6591)  4 Ga 2.50-2.59
Ga (0.6591, 0.3409, 0.6591)  4 Ga 2.50-2.59
Ga (0.6591, 0.6591, 0.3409)  4 Ga 2.50-2.59
Ga (0.8409, 0.8409, 0.8409)  4 Ga 2.50-2.59
Ga (0.8409, 0.1591, 0.1591)  4 Ga 2.50-2.59
Ga (0.1591, 0.8409, 0.1591)  4 Ga 2.50-2.59
Ga (0.1591, 0.1591, 0.8409)  4 Ga 2.50-2.59

Volume in Å³/cell: 524.2
Magnetization in μB/f.u.: 0.000
Final energy in eV per atom: -2.695
Formation enthalpy at 0 K in eV/atom: 0.33
ΔE to the lowest computed polymorph in meV per atom: 331.9

---

# 6
Material: Ga
Method: DFT, PBE
State: optimized geometry

abc: 5.8544 5.8544 5.8544
angles: 90.00 90.00 90.00
Closest atoms and distances in Å follow each position.
Sites, in units of the cell vectors:
Ga (0.0000, 0.0000, 0.0000)  4 Ga 2.54
Ga (0.0000, 0.5000, 0.5000)  4 Ga 2.54
Ga (0.5000, 0.0000, 0.5000)  4 Ga 2.54
Ga (0.5000, 0.5000, 0.0000)  4 Ga 2.54
Ga (0.2500, 0.2500, 0.2500)  4 Ga 2.54
Ga (0.2500, 0.7500, 0.7500)  4 Ga 2.54
Ga (0.7500, 0.2500, 0.7500)  4 Ga 2.54
Ga (0.7500, 0.7500, 0.2500)  4 Ga 2.54

Volume in Å³/cell: 200.7
Magnetization in μB/f.u.: 0.000
Final energy in eV per atom: -2.753
Formation enthalpy at 0 K in eV/atom: 0.27
ΔE to the lowest computed polymorph in meV per atom: 273.6

---

# 7
Material: Ga
Method: DFT, PBE
State: optimized geometry

abc: 2.7853 2.7909 5.0992
angles: 96.31 96.46 103.18
Closest atoms and distances in Å follow each position.
Sites, in units of the cell vectors:
Ga (0.6404, 0.8463, 0.2501)  8 Ga 2.79-2.97
Ga (0.3596, 0.1537, 0.7499)  8 Ga 2.79-2.97

Volume in Å³/cell: 38.0
Magnetization in μB/f.u.: 0.000
Final energy in eV per atom: -3.012
Formation enthalpy at 0 K in eV/atom: 0.02
ΔE to the lowest computed polymorph in meV per atom: 15.0

---

# 8
Material: Ga
Method: DFT, PBE
State: optimized geometry

abc: 8.6646 8.6646 5.2379
angles: 90.00 90.00 102.86
Closest atoms and distances in Å follow each position.
Sites, in units of the cell vectors:
Ga (0.3304, 0.2266, 0.7500)  6 Ga 2.64-2.92
Ga (0.6067, 0.3933, 0.4974)  6 Ga 2.59-2.89
Ga (0.6696, 0.7734, 0.2500)  6 Ga 2.64-2.92
Ga (0.9122, 0.6351, 0.2500)  5 Ga 2.64-2.92
Ga (0.3318, 0.9180, 0.7500)  5 Ga 2.64-2.95
Ga (0.6682, 0.0820, 0.2500)  5 Ga 2.64-2.95
Ga (0.0820, 0.6682, 0.7500)  5 Ga 2.64-2.95
Ga (0.0053, 0.9947, 0.7500)  2 Ga 2.62
Ga (0.0878, 0.3649, 0.7500)  5 Ga 2.64-2.92
Ga (0.3649, 0.0878, 0.2500)  5 Ga 2.64-2.92
Ga (0.6067, 0.3933, 0.0026)  6 Ga 2.59-2.89
Ga (0.2116, 0.7884, 0.2500)  9 Ga 2.64-2.95
Ga (0.2266, 0.3304, 0.2500)  6 Ga 2.64-2.92
Ga (0.7884, 0.2116, 0.7500)  9 Ga 2.64-2.95
Ga (0.3933, 0.6067, 0.9974)  6 Ga 2.59-2.89
Ga (0.9180, 0.3318, 0.2500)  5 Ga 2.64-2.95
Ga (0.9947, 0.0053, 0.2500)  2 Ga 2.62
Ga (0.7734, 0.6696, 0.7500)  6 Ga 2.64-2.92
Ga (0.3933, 0.6067, 0.5026)  6 Ga 2.59-2.89
Ga (0.6351, 0.9122, 0.7500)  5 Ga 2.64-2.92

Volume in Å³/cell: 383.4
Magnetization in μB/f.u.: 0.000
Final energy in eV per atom: -3.016
Formation enthalpy at 0 K in eV/atom: 0.01
ΔE to the lowest computed polymorph in meV per atom: 10.5

---

# 9
Material: Gd3Ga
Method: DFT, PBE
State: optimized geometry

abc: 4.6989 4.6989 5.9198
angles: 113.38 113.38 90.00
Closest atoms and distances in Å follow each position.
Sites, in units of the cell vectors:
Gd (0.7500, 0.2500, 0.5000)  8 Gd 3.32-3.39, 4 Ga 3.39
Gd (0.2500, 0.7500, 0.5000)  8 Gd 3.32-3.39, 4 Ga 3.39
Gd (0.5000, 0.5000, 0.0000)  4 Ga 3.32, 8 Gd 3.39
Ga (0.0000, 0.0000, 0.0000)  12 Gd 3.32-3.39

Volume in Å³/cell: 108.2
Magnetization in μB/f.u.: 22.746
Final energy in eV per atom: -11.559
Formation enthalpy at 0 K in eV/atom: -0.24

---

# 10
Material: GdGa6
Method: DFT, PBE
State: optimized geometry

abc: 6.0390 6.0390 6.0390
angles: 109.47 109.47 109.47
Closest atoms and distances in Å follow each position.
Sites, in units of the cell vectors:
Gd (0.0000, 0.0000, 0.0000)  24 Ga 3.90
Ga (0.2500, 0.7500, 0.5000)  4 Ga 2.47
Ga (0.5000, 0.7500, 0.2500)  4 Ga 2.47
Ga (0.2500, 0.5000, 0.7500)  4 Ga 2.47
Ga (0.7500, 0.2500, 0.5000)  4 Ga 2.47
Ga (0.5000, 0.2500, 0.7500)  4 Ga 2.47
Ga (0.7500, 0.5000, 0.2500)  4 Ga 2.47

Volume in Å³/cell: 169.5
Magnetization in μB/f.u.: 6.835
Final energy in eV per atom: -4.523
Formation enthalpy at 0 K in eV/atom: 0.08
ΔE to the lowest computed polymorph in meV per atom: 407.7

---

# 11
Material: Gd3Ga
Method: DFT, PBE
State: optimized geometry

abc: 4.7586 4.7585 4.7578
angles: 90.00 90.00 90.00
Closest atoms and distances in Å follow each position.
Sites, in units of the cell vectors:
Gd (0.0000, 0.5000, 0.3332)  4 Ga 3.36, 8 Gd 3.36
Gd (0.5000, 0.5000, 0.8333)  8 Gd 3.36, 4 Ga 3.36
Gd (0.5000, 0.0000, 0.3335)  8 Gd 3.36, 4 Ga 3.36-3.37
Ga (0.0000, 0.0000, 0.8333)  12 Gd 3.36-3.37

Volume in Å³/cell: 107.7
Magnetization in μB/f.u.: 22.793
Final energy in eV per atom: -11.596
Formation enthalpy at 0 K in eV/atom: -0.28

---

# 12
Material: GdGa3
Method: DFT, PBE
State: optimized geometry

abc: 6.3202 6.3202 4.6012
angles: 90.00 90.00 120.00
Closest atoms and distances in Å follow each position.
Sites, in units of the cell vectors:
Gd (0.3333, 0.6667, 0.7500)  12 Ga 3.08-3.17
Gd (0.6667, 0.3333, 0.2500)  12 Ga 3.08-3.17
Ga (0.1462, 0.2924, 0.2500)  6 Ga 2.77-2.80, 2 Gd 3.08
Ga (0.7076, 0.8538, 0.2500)  6 Ga 2.77-2.80, 2 Gd 3.08
Ga (0.1462, 0.8538, 0.2500)  6 Ga 2.77-2.80, 2 Gd 3.08
Ga (0.8538, 0.7076, 0.7500)  6 Ga 2.77-2.80, 2 Gd 3.08
Ga (0.2924, 0.1462, 0.7500)  6 Ga 2.77-2.80, 2 Gd 3.08
Ga (0.8538, 0.1462, 0.7500)  6 Ga 2.77-2.80, 2 Gd 3.08

Volume in Å³/cell: 159.2
Magnetization in μB/f.u.: 6.969
Final energy in eV per atom: -6.338
Formation enthalpy at 0 K in eV/atom: -0.55